Entry 1:
Material: BeCd2Si
Method: DFT, PBE-GGA
State: optimized geometry

## Properties
SG: No. 71
ΔE_f (raw), meV/atom: 284
Distance to the lowest polymorph of the same formula, meV per atom: 0
Density of states at the Fermi level, states/eV/cell: 1.2

The structure in POSCAR format:
```
BeCd2Si
1.0
-1.4580 1.8429 6.6135
1.4580 -1.8429 6.6135
1.4580 1.8429 -6.6135
Be Cd Si
1 2 1
direct
0.0000 0.0000 0.0000
0.1744 0.6744 0.5000
0.8256 0.3256 0.5000
0.5000 0.5000 0.0000
```

---

Entry 2:
Material: Zn2CoReHg
Method: DFT, PBE-GGA
State: optimized geometry

## Properties
SG: No. 123
Energy of formation, meV per atom: 1818
Density of states at the Fermi level, states/eV/cell: 5.4

The structure in POSCAR format:
```
Zn2CoReHg
1.0
4.7480 0.0000 0.0000
0.0000 4.7480 0.0000
0.0000 0.0000 4.8717
Zn Co Re Hg
2 1 1 1
direct
0.0000 0.5000 0.0000
0.5000 0.0000 0.0000
0.0000 0.0000 0.5000
0.5000 0.5000 0.5000
0.0000 0.0000 0.0000
```

---

Entry 3:
Material: RbTeP
Method: DFT, PBE-GGA
State: optimized geometry

## Properties
SG: No. 6
ΔE_f (raw), meV/atom: -244
Distance to the lowest polymorph of the same formula, meV per atom: 236

The structure in POSCAR format:
```
RbTeP
1.0
4.2147 0.0000 0.0000
0.0000 3.9302 0.0000
-1.6013 0.0000 6.0393
Rb Te P
1 1 1
direct
0.0000 0.0000 0.0000
0.6743 0.5000 0.4560
0.3248 0.0000 0.5548
```

---

Entry 4:
Material: Ta2FeCu
Method: DFT, PBE-GGA
State: optimized geometry

## Properties
SG: No. 216
Distance to the lowest polymorph of the same formula, meV per atom: 269
Energy of formation, meV per atom: 306
Density of states at the Fermi level, states/eV/cell: 4.2

The structure in POSCAR format:
```
Ta2FeCu
1.0
0.0000 3.0942 3.0942
3.0942 0.0000 3.0942
3.0942 3.0942 0.0000
Ta Fe Cu
2 1 1
direct
0.0000 0.0000 0.0000
0.2500 0.2500 0.2500
0.7500 0.7500 0.7500
0.5000 0.5000 0.5000
```

---

Entry 5:
Material: Y2ThPt2
Method: DFT, PBE-GGA
State: optimized geometry

## Properties
SG: No. 63
Energy of formation, meV per atom: -987
Density of states at the Fermi level, states/eV/cell: 6.9

The structure in POSCAR format:
```
Y2ThPt2
1.0
1.9333 -13.7807 0.0000
1.9333 13.7807 0.0000
0.0000 0.0000 4.6777
Y Th Pt
4 2 4
direct
0.0500 0.9500 0.7500
0.2645 0.7355 0.2500
0.7355 0.2645 0.7500
0.9500 0.0500 0.2500
0.3630 0.6370 0.7500
0.6370 0.3630 0.2500
0.1573 0.8427 0.7500
0.4657 0.5343 0.7500
0.5343 0.4657 0.2500
0.8427 0.1573 0.2500
```

---

Entry 6:
Material: Ac3SnI2
Method: DFT, PBE-GGA
State: optimized geometry

## Properties
SG: No. 15
ΔE_f (raw), meV/atom: -881
Density of states at the Fermi level, states/eV/cell: 7.3

The structure in POSCAR format:
```
Ac3SnI2
1.0
4.5090 -6.8674 0.0000
4.5090 6.8674 0.0000
-2.3026 0.0000 7.5403
Ac Sn I
6 2 4
direct
0.0000 0.5000 0.0000
0.1302 0.2946 0.4797
0.2946 0.1302 0.9797
0.5000 0.0000 0.5000
0.7054 0.8698 0.0203
0.8698 0.7054 0.5203
0.0951 0.9049 0.2500
0.9049 0.0951 0.7500
0.2692 0.7308 0.7500
0.4291 0.5709 0.2500
0.5709 0.4291 0.7500
0.7308 0.2692 0.2500
```

---

> What is the formula in the sixth record?

Ac3SnI2